VASP calculation (PBE+U) on a geometry-optimized AcNpMn2O8 structure.

The structure belongs to space group I-4 (No. 82); the cell edges are 5.3225, 5.3225 and 11.5878 Å and the angles 90.00°, 90.00° and 90.00°. The asymmetric unit holds Ac at (0.0000, 0.0000, 0.0000), Np at (0.0000, 0.5000, 0.7500), Mn at (0.0000, 0.0000, 0.5000), Mn at (0.0000, 0.5000, 0.2500), O at (0.1429, 0.2570, 0.5780) and O at (0.1967, 0.1990, 0.8076).

The crystal system is tetragonal. The uncorrected energy comes out at -194.61 eV/cell. The value obtained for the density of states at the Fermi level is 5.9 states/eV/f.u. As for the total magnetization: 0.667 μB per atom.